Below is crystalline ZrCu3As at its relaxed geometry, with properties calculated at the GGA-PBE level.

Values from the calculation:
ΔE_f	203.5	kJ/mol of formula units
ρ	6.7	g/cm³
space group	Pm-3m

Cell lengths 4.4569, 4.4569, 4.4569 Å; angles 90.00, 90.00, 90.00 degrees
Sites, in units of the cell vectors:
As 0.0000 0.0000 0.0000
Cu 0.0000 0.5000 0.0000
Cu 0.0000 0.0000 0.5000
Cu 0.5000 0.0000 0.0000
Zr 0.5000 0.5000 0.5000